Record 1
Density functional theory data (GGA-PBE) for a relaxed CdAuNO crystal.

Summary:
Theoretical density ... 9.49 Mg/m³
SG ... Pca2_1
Electronic total energy ... -59.61 eV for the cell shown

Cell: 6.7370 7.0278 5.0183 Å, 90.00 90.00 90.00°
Sites, in units of the cell vectors:
Cd1 0.0945 0.1536 0.0000
Cd2 0.4056 0.1536 0.5000
Cd3 0.5944 0.8464 0.0000
Cd4 0.9056 0.8464 0.5000
Au1 0.1536 0.6874 0.9744
Au2 0.3464 0.6874 0.4744
Au3 0.6536 0.3126 0.9744
Au4 0.8464 0.3126 0.4744
N1 0.0747 0.1284 0.4951
N2 0.4253 0.1284 0.9951
N3 0.5747 0.8716 0.4951
N4 0.9253 0.8716 0.9951
O1 0.0719 0.5707 0.3606
O2 0.4281 0.5707 0.8606
O3 0.5719 0.4293 0.3606
O4 0.9281 0.4293 0.8606

Record 2
Density functional theory data (GGA-PBE) for a relaxed CdAuNO crystal.

Summary:
Theoretical density ... 9.94 Mg/m³
SG ... Pmc2_1
Electronic total energy ... -31.65 eV for the cell shown

Cell: 3.0447 6.4906 5.7373 Å, 90.00 90.00 90.00°
Sites, in units of the cell vectors:
Cd1 0.0000 0.0701 0.0000
Cd2 0.0000 0.9299 0.5000
Au1 0.5000 0.4695 0.4455
Au2 0.5000 0.5305 0.9455
N1 0.0000 0.3933 0.1912
N2 0.0000 0.6067 0.6912
O1 0.5000 0.0978 0.7164
O2 0.5000 0.9022 0.2164

Record 3
Density functional theory data (GGA-PBE) for a relaxed Sc4CdAuN2 crystal.

Summary:
Magnetization ... 0.3 Bohr magnetons per cell
Theoretical density ... 6.53 Mg/m³
SG ... P-6m2
Electronic total energy ... -55.23 eV for the cell shown

Cell: 3.2316 3.2316 14.5531 Å, 90.00 90.00 120.00°
Sites, in units of the cell vectors:
Sc1 0.0000 0.0000 0.1545
Sc2 0.0000 0.0000 0.8455
Sc3 0.3333 0.6667 0.3241
Sc4 0.3333 0.6667 0.6759
Cd1 0.0000 0.0000 0.5000
Au1 0.3333 0.6667 0.0000
N1 0.6667 0.3333 0.2431
N2 0.6667 0.3333 0.7569